# PrNd2Bi, relaxed, DFT PBE
data_PrNd2Bi
_chemical_formula_sum 'Pr1 Nd2 Bi1'
_cell_length_a 5.025
_cell_length_b 5.025
_cell_length_c 4.999
_cell_angle_alpha 90.00
_cell_angle_beta 90.00
_cell_angle_gamma 90.00
_space_group_name_H-M_alt 'P 4/m m m'
_space_group_IT_number 123
_space_group_name_Hall '-P 4 2'
loop_
_atom_site_label
_atom_site_type_symbol
_atom_site_fract_x
_atom_site_fract_y
_atom_site_fract_z
Pr1 Pr 0.000 0.000 0.000
Nd1 Nd 0.000 0.500 0.500
Bi1 Bi 0.500 0.500 0.000
# DFT formation energy (eV/atom): -0.439
# Fermi-level density of states (states/eV/atom): 0.9834
# Energy (eV/atom): -4.988
# Total moment (μB/cell): 0.000
# Calculated volume (Å³/atom): 31.55

# HgTeMoN2, relaxed, DFT PBE
data_HgTeMoN2
_chemical_formula_sum 'Hg1 Te1 Mo1 N2'
_cell_length_a 3.991
_cell_length_b 3.991
_cell_length_c 5.785
_cell_angle_alpha 90.00
_cell_angle_beta 90.00
_cell_angle_gamma 90.00
_space_group_name_H-M_alt 'P 4/m m m'
_space_group_IT_number 123
_space_group_name_Hall '-P 4 2'
loop_
_atom_site_label
_atom_site_type_symbol
_atom_site_fract_x
_atom_site_fract_y
_atom_site_fract_z
Hg1 Hg 0.000 0.000 0.000
Te1 Te 0.500 0.500 0.000
Mo1 Mo 0.500 0.500 0.500
N1 N 0.000 0.500 0.500
# Uncorrected formation energy (eV per atom): 0.478
# Fermi-level density of states (states/eV/atom): 0.4083
# Energy (eV/atom): -5.707
# Total moment (μB/cell): 0.000
# Calculated volume (Å³/atom): 18.43

# PtRhW, relaxed, DFT PBE
data_PtRhW
_chemical_formula_sum 'Pt2 Rh2 W2'
_cell_length_a 2.773
_cell_length_b 2.773
_cell_length_c 11.867
_cell_angle_alpha 90.00
_cell_angle_beta 90.00
_cell_angle_gamma 90.00
_space_group_name_H-M_alt 'I 4 m m'
_space_group_IT_number 107
_space_group_name_Hall 'I 4 -2'
loop_
_atom_site_label
_atom_site_type_symbol
_atom_site_fract_x
_atom_site_fract_y
_atom_site_fract_z
Pt1 Pt 0.000 0.000 0.000
Rh1 Rh 0.000 0.000 0.322
W1 W 0.000 0.000 0.665
# DFT formation energy (eV/atom): -0.255
# Fermi-level density of states (states/eV/atom): 0.7608
# Energy (eV/atom): -9.037
# Total moment (μB/cell): 0.000
# Calculated volume (Å³/atom): 15.21

# BaCrAsBr2, relaxed, DFT PBE
data_BaCrAsBr2
_chemical_formula_sum 'Ba1 Cr1 As1 Br2'
_cell_length_a 5.308
_cell_length_b 5.308
_cell_length_c 4.961
_cell_angle_alpha 90.00
_cell_angle_beta 90.00
_cell_angle_gamma 90.00
_space_group_name_H-M_alt 'P 4/m m m'
_space_group_IT_number 123
_space_group_name_Hall '-P 4 2'
loop_
_atom_site_label
_atom_site_type_symbol
_atom_site_fract_x
_atom_site_fract_y
_atom_site_fract_z
Ba1 Ba 0.000 0.000 0.000
Cr1 Cr 0.500 0.500 0.500
As1 As 0.500 0.500 0.000
Br1 Br 0.000 0.500 0.500
# Uncorrected formation energy (eV per atom): -0.856
# Fermi-level density of states (states/eV/atom): 0.4775
# Energy (eV/atom): -4.765
# Total moment (μB/cell): 2.999
# Calculated volume (Å³/atom): 27.95

# TaCoSn2As, relaxed, DFT PBE
data_TaCoSn2As
_chemical_formula_sum 'Ta1 Co1 Sn2 As1'
_cell_length_a 5.003
_cell_length_b 5.003
_cell_length_c 4.259
_cell_angle_alpha 90.00
_cell_angle_beta 90.00
_cell_angle_gamma 90.00
_space_group_name_H-M_alt 'P 4/m m m'
_space_group_IT_number 123
_space_group_name_Hall '-P 4 2'
loop_
_atom_site_label
_atom_site_type_symbol
_atom_site_fract_x
_atom_site_fract_y
_atom_site_fract_z
Ta1 Ta 0.000 0.000 0.000
Co1 Co 0.500 0.500 0.500
Sn1 Sn 0.000 0.500 0.500
As1 As 0.500 0.500 0.000
# DFT formation energy (eV/atom): 0.787
# Fermi-level density of states (states/eV/atom): 1.4229
# Energy (eV/atom): -5.536
# Total moment (μB/cell): 0.000
# Calculated volume (Å³/atom): 21.32

# SrFe4Re, relaxed, DFT PBE
data_SrFe4Re
_chemical_formula_sum 'Sr4 Fe16 Re4'
_cell_length_a 7.074
_cell_length_b 7.074
_cell_length_c 7.074
_cell_angle_alpha 90.00
_cell_angle_beta 90.00
_cell_angle_gamma 90.00
_space_group_name_H-M_alt 'F -4 3 m'
_space_group_IT_number 216
_space_group_name_Hall 'F -4 2 3'
loop_
_atom_site_label
_atom_site_type_symbol
_atom_site_fract_x
_atom_site_fract_y
_atom_site_fract_z
Sr1 Sr 0.000 0.000 0.000
Fe1 Fe 0.123 0.123 0.623
Re1 Re 0.250 0.250 0.250
# DFT formation energy (eV/atom): 0.649
# Fermi-level density of states (states/eV/atom): 1.5076
# Energy (eV/atom): -7.348
# Total moment (μB/cell): 30.862
# Calculated volume (Å³/atom): 14.75